No. 1
TaMnH | Alexandria | PBE | optimized geometry; crystal system = monoclinic; ρ = 12.58 Mg/m³; energy = -8.157 eV/atom
1.0
4.865 -1.512 0.000
4.865 1.512 0.000
-1.356 0.000 4.252
Ta Mn H
2 2 2
Cartesian
0.664 0.000 1.393 Ta
7.710 0.000 2.859 Ta
3.551 0.000 0.758 Mn
4.823 0.000 3.494 Mn
1.366 0.000 3.387 H
7.008 0.000 0.865 H

=====

No. 2
Sr2Cd2Au | Alexandria | PBE | optimized geometry; crystal system = tetragonal; ρ = 5.65 Mg/m³; energy above the lowest structure with this stoichiometry = 0.249 eV per atom
1.0
8.572 0.000 0.000
0.000 8.572 0.000
0.000 0.000 4.780
Sr Cd Au
4 4 2
Cartesian
1.508 2.778 0.000 Sr
2.778 7.065 0.000 Sr
5.794 1.508 0.000 Sr
7.065 5.794 0.000 Sr
1.061 5.347 2.390 Cd
3.226 1.061 2.390 Cd
5.347 7.512 2.390 Cd
7.512 3.226 2.390 Cd
0.000 0.000 0.000 Au
4.286 4.286 0.000 Au

=====

No. 3
CeTmMgSc | Alexandria | PBE | optimized geometry; crystal system = cubic; ρ = 5.79 Mg/m³; energy = -4.514 eV/atom
1.0
0.000 3.786 3.786
3.786 0.000 3.786
3.786 3.786 0.000
Ce Tm Mg Sc
1 1 1 1
Cartesian
0.000 0.000 0.000 Ce
3.786 3.786 3.786 Tm
5.680 5.680 5.680 Mg
1.893 1.893 1.893 Sc

=====

No. 4
K2Na2SI2 | Alexandria | PBE | optimized geometry; crystal system = tetragonal; ρ = 2.60 Mg/m³; E_form (uncorrected) = -1245 meV per atom
1.0
-2.643 2.643 9.354
2.643 -2.643 9.354
2.643 2.643 -9.354
K Na S I
2 2 1 2
Cartesian
0.000 0.000 3.063 K
0.000 0.000 15.645 K
2.643 0.000 0.000 Na
0.000 2.643 0.000 Na
0.000 0.000 0.000 S
0.000 0.000 6.641 I
0.000 0.000 12.066 I

=====

No. 5
ThBeSn | Alexandria | PBE | optimized geometry; crystal system = hexagonal; ρ = 8.82 Mg/m³; energy = -5.458 eV/atom
1.0
4.224 0.000 0.000
-2.112 3.658 0.000
0.000 0.000 13.150
Th Be Sn
3 3 3
Cartesian
0.000 0.000 0.000 Th
0.000 0.000 4.384 Th
0.000 0.000 8.766 Th
0.000 2.439 6.575 Be
2.112 1.219 2.181 Be
2.112 1.219 10.970 Be
0.000 2.439 2.196 Sn
0.000 2.439 10.955 Sn
2.112 1.219 6.575 Sn

=====

No. 6
CsBaHg2 | Alexandria | PBE | optimized geometry; crystal system = tetragonal; ρ = 6.58 Mg/m³; energy above the lowest structure with this stoichiometry = 0.000 eV per atom
1.0
4.315 0.000 0.000
0.000 4.315 0.000
0.000 0.000 9.106
Cs Ba Hg
1 1 2
Cartesian
0.000 0.000 0.000 Cs
0.000 0.000 4.553 Ba
2.158 2.158 2.694 Hg
2.158 2.158 6.412 Hg

=====

No. 7
TcMoSN2 | Alexandria | PBE | optimized geometry; crystal system = tetragonal; ρ = 5.76 Mg/m³; E_form (uncorrected) = 864 meV per atom; energy above the lowest structure with this stoichiometry = 0.054 eV per atom
1.0
3.810 0.000 0.000
0.000 3.810 0.000
0.000 0.000 5.043
Tc Mo S N
1 1 1 2
Cartesian
0.000 0.000 0.000 Tc
1.905 1.905 2.522 Mo
0.000 0.000 2.522 S
0.000 1.905 0.000 N
1.905 0.000 0.000 N